(1)
La2Tb3Pr6Tm (PBE, optimized geometry); volume = 417 Å³/cell; energy = -0.347 Ry per atom; spin magnetization = 0.00 μB per formula unit
1.0
6.3593 -0.0019 -0.0015
-3.1797 5.5073 -0.0015
-1.0617 -1.8383 11.9121
Pr Tm Tb La
6 1 3 2
direct
0.4156 0.0843 0.2534
0.7526 0.7526 0.2539
0.2474 0.2474 0.7461
0.0843 0.4156 0.2534
0.9157 0.5844 0.7466
0.5844 0.9157 0.7466
0.0000 0.0000 0.0000
0.5000 0.5000 0.5000
0.8337 0.1663 0.5000
0.1663 0.8337 0.5000
0.6668 0.3332 0.0000
0.3332 0.6668 0.0000



(2)
La3TbPr6Tm2 (PBE, optimized geometry); volume = 420 Å³/cell; energy = -0.348 Ry per atom; spin magnetization = 0.00 μB per formula unit
1.0
-3.1118 2.1997 5.1133
-2.0761 -5.2334 -2.9947
8.5688 -5.7440 6.3604
Tm La Pr Tb
2 3 6 1
direct
0.6666 0.3334 0.0000
0.3334 0.6666 0.0000
0.8331 0.1669 0.5000
0.1669 0.8331 0.5000
0.5000 0.5000 0.5000
0.5846 0.9186 0.7571
0.4154 0.0814 0.2429
0.0814 0.4154 0.2429
0.2525 0.2525 0.7569
0.9186 0.5846 0.7571
0.7475 0.7475 0.2431
0.0000 0.0000 0.0000